(1)
Computed, not measured: a geometry-optimized SiTe structure at the PBE level of DFT.

Cell: 5.103 5.103 4.285 Å, 90.00 90.00 90.00°
Element x y z (fractional)
Si 0.250 0.750 0.000
Si 0.750 0.250 0.000
Te 0.250 0.250 0.255
Te 0.750 0.750 0.745

**VASP energy**: -3.861 eV per atom
**Space-group type**: P4/nmm
**Total moment**: 0.0 μB per formula unit

(2)
Computed, not measured: a geometry-optimized LiDyGePd structure at the PBE level of DFT.

Cell: 4.612 4.612 4.612 Å, 60.00 60.00 60.00°
Element x y z (fractional)
Li 0.000 0.000 0.000
Dy 0.750 0.750 0.750
Ge 0.250 0.250 0.250
Pd 0.500 0.500 0.500

**VASP energy**: -4.811 eV per atom
**Formation enthalpy at 0 K**: -2.9 eV per formula unit
**Space-group type**: F-43m
**Total moment**: 0.0 μB per formula unit

(3)
Computed, not measured: a geometry-optimized ThSc3Co8 structure at the PBE level of DFT.

Cell: 8.620 8.620 8.620 Å, 33.24 33.24 33.24°
Element x y z (fractional)
Th 0.000 0.000 0.000
Sc 0.128 0.128 0.128
Sc 0.498 0.498 0.498
Sc 0.619 0.619 0.619
Co 0.061 0.061 0.555
Co 0.061 0.555 0.061
Co 0.066 0.564 0.564
Co 0.311 0.311 0.311
Co 0.555 0.061 0.061
Co 0.564 0.066 0.564
Co 0.564 0.564 0.066
Co 0.812 0.812 0.812

**VASP energy**: -7.235 eV per atom
**Formation enthalpy at 0 K**: -3.6 eV per formula unit
**Space-group type**: R3m
**Total moment**: 6.2 μB per formula unit

Q: Look up the VASP energy of the first one.
A: -3.861 eV per atom